! Tm8ThSc3, relaxed, DFT PBE-GGA; values from VASP
&SYSTEM
  ibrav = 0, nat = 12, ntyp = 3
/
ATOMIC_SPECIES
Tm 168.93 Tm.upf
Th 232.04 Th.upf
Sc 44.96 Sc.upf
CELL_PARAMETERS angstrom
-3.201 3.201 10.046
3.201 -3.201 10.046
3.201 3.201 -10.046
ATOMIC_POSITIONS crystal
Tm 0.122 0.122 0.498
Tm 0.122 0.624 0.000
Tm 0.376 0.376 0.498
Tm 0.376 0.878 0.000
Tm 0.624 0.122 0.000
Tm 0.624 0.624 0.502
Tm 0.878 0.376 0.000
Tm 0.878 0.878 0.502
Th 0.500 0.500 0.000
Sc 0.000 0.000 0.000
Sc 0.250 0.750 0.500
Sc 0.750 0.250 0.500
! Total energy = -53.55 eV per formula unit
! Space group = I4/mmm (139)
! DOS at the Fermi energy = 25.2 states/eV per cell